Material: FeSiNi2
Method: DFT, PBE
State: optimized geometry

## Properties
Its formation energy without anion corrections is -0.25 eV/atom. Its density of states at the Fermi level is 2.9 states/eV/f.u. The calculation puts the calculated total energy at -26.44 eV for the cell shown.

a = 2.587 Å, b = 3.356 Å, c = 5.079 Å
α = 90.00°, β = 90.00°, γ = 90.00°
Last column: magnetic moment on the atom in μB.
Fractional coordinates of all 4 atoms:
1 Ni 0.000 0.000 0.995  0.54
2 Ni 0.500 0.500 0.261  0.02
3 Si 0.000 0.000 0.491  -0.04
4 Fe 0.500 0.500 0.753  1.99

Material: DyMgSc2
Method: DFT, PBE
State: optimized geometry

## Properties
Its density of states at the Fermi level is 6.2 states/eV/f.u. The calculation puts the calculated total energy at -18.87 eV for the cell shown. As for the energy of formation: -0.0033 eV/atom. For the excess energy over the best structure of this formula in the dataset, the calculation gives 0.000 eV per formula unit.

a = 3.371 Å, b = 3.371 Å, c = 9.111 Å
α = 90.00°, β = 90.00°, γ = 90.00°
Fractional coordinates of all 4 atoms:
1 Mg 0.000 0.000 0.513
2 Sc 0.000 0.000 0.988
3 Sc 0.500 0.500 0.749
4 Dy 0.500 0.500 0.250

Material: CrSi2Ir
Method: DFT, PBE
State: optimized geometry

## Properties
Its formation energy without anion corrections is -0.34 eV/atom. Its density of states at the Fermi level is 3.0 states/eV/f.u. The calculation puts the calculated total energy at -30.71 eV for the cell shown.

a = 2.908 Å, b = 2.908 Å, c = 5.859 Å
α = 90.00°, β = 90.00°, γ = 89.96°
Fractional coordinates of all 4 atoms:
1 Cr 0.500 0.500 0.250
2 Ir 0.500 0.500 0.750
3 Si 0.000 0.000 0.026
4 Si 0.000 0.000 0.474

Please write out number 2 again, unchanged.
Material: DyMgSc2
Method: DFT, PBE
State: optimized geometry

## Properties
Its density of states at the Fermi level is 6.2 states/eV/f.u. The calculation puts the calculated total energy at -18.87 eV for the cell shown. As for the energy of formation: -0.0033 eV/atom. For the excess energy over the best structure of this formula in the dataset, the calculation gives 0.000 eV per formula unit.

a = 3.371 Å, b = 3.371 Å, c = 9.111 Å
α = 90.00°, β = 90.00°, γ = 90.00°
Fractional coordinates of all 4 atoms:
1 Mg 0.000 0.000 0.513
2 Sc 0.000 0.000 0.988
3 Sc 0.500 0.500 0.749
4 Dy 0.500 0.500 0.250

calculated total energy of number 2 (DyMgSc2)?
-18.87 eV for the cell shown